This record from OQMD via LeMat-Bulk describes Rb2ZnBr4 after structural relaxation. The functional is PBE-GGA.

## Properties
The value obtained for the raw total energy is -2.833 eV/atom. The energy above the lowest structure with this stoichiometry is 0.006 eV per atom. The value obtained for the volume is 37.2 A^3/atom. Its space group is P2_1/c (14).

Cell: 7.638 13.719 9.927 Å, 90.00 90.00 89.74°
Fractional coordinates of all 28 atoms:
Br  0.747  0.583  0.018
Br  0.026  0.867  0.177
Br  0.697  0.086  0.180
Br  0.524  0.813  0.195
Br  0.024  0.313  0.305
Br  0.197  0.586  0.320
Br  0.526  0.367  0.323
Br  0.247  0.083  0.482
Br  0.753  0.917  0.518
Br  0.474  0.633  0.677
Br  0.803  0.414  0.680
Br  0.976  0.687  0.695
Br  0.476  0.187  0.805
Br  0.303  0.914  0.820
Br  0.974  0.133  0.823
Br  0.253  0.417  0.982
Rb  0.758  0.328  0.014
Rb  0.235  0.100  0.124
Rb  0.735  0.600  0.376
Rb  0.258  0.828  0.486
Rb  0.742  0.172  0.514
Rb  0.265  0.400  0.624
Rb  0.765  0.900  0.876
Rb  0.242  0.672  0.986
Zn  0.250  0.424  0.226
Zn  0.750  0.924  0.274
Zn  0.250  0.076  0.726
Zn  0.750  0.576  0.774

***

This record from OQMD via LeMat-Bulk describes PrTlHgS3 after structural relaxation. The functional is PBE-GGA.

## Properties
The value obtained for the raw total energy is -4.238 eV/atom. The energy above the lowest structure with this stoichiometry is 0.022 eV per atom. The value obtained for the volume is 28.8 A^3/atom. Its space group is Pnma (62).

Cell: 14.316 4.246 11.372 Å, 90.00 90.00 90.00°
Fractional coordinates of all 24 atoms:
Hg  0.481  0.250  0.107
Hg  0.981  0.250  0.393
Hg  0.019  0.750  0.607
Hg  0.519  0.750  0.893
Pr  0.973  0.750  0.156
Pr  0.473  0.750  0.344
Pr  0.527  0.250  0.656
Pr  0.027  0.250  0.844
S  0.095  0.250  0.076
S  0.588  0.750  0.118
S  0.853  0.250  0.237
S  0.353  0.250  0.263
S  0.088  0.750  0.382
S  0.595  0.250  0.424
S  0.405  0.750  0.576
S  0.912  0.250  0.618
S  0.647  0.750  0.737
S  0.147  0.750  0.763
S  0.412  0.250  0.882
S  0.905  0.750  0.924
Tl  0.254  0.750  0.050
Tl  0.754  0.750  0.450
Tl  0.246  0.250  0.550
Tl  0.746  0.250  0.950

***

This record from OQMD via LeMat-Bulk describes ZrPb2 after structural relaxation. The functional is PBE-GGA.

## Properties
The value obtained for the raw total energy is -4.821 eV/atom. The value obtained for the volume is 28.2 A^3/atom. Its space group is Fd-3m (227).

Cell: 6.211 6.211 6.211 Å, 60.00 60.00 60.00°
Each line ends with the local moment (μB).
Fractional coordinates of all 6 atoms:
Pb  0.625  0.625  0.125  0.00
Pb  0.625  0.125  0.625  0.00
Pb  0.125  0.625  0.625  0.00
Pb  0.625  0.625  0.625  0.00
Zr  0.000  0.000  0.000  0.25
Zr  0.250  0.250  0.250  0.25

***

This record from OQMD via LeMat-Bulk describes BaNaGdS3 after structural relaxation. The functional is PBE-GGA.

## Properties
The value obtained for the raw total energy is -5.143 eV/atom. The value obtained for the volume is 26.0 A^3/atom. Its space group is Pnma (62).

Cell: 10.530 4.274 13.842 Å, 90.00 90.00 90.00°
Fractional coordinates of all 24 atoms:
Ba  0.257  0.250  0.005
Ba  0.757  0.250  0.495
Ba  0.243  0.750  0.505
Ba  0.743  0.750  0.995
Gd  0.992  0.750  0.248
Gd  0.492  0.750  0.252
Gd  0.508  0.250  0.748
Gd  0.008  0.250  0.752
Na  0.741  0.250  0.226
Na  0.241  0.250  0.274
Na  0.759  0.750  0.726
Na  0.259  0.750  0.774
S  0.943  0.250  0.118
S  0.540  0.250  0.120
S  0.243  0.750  0.172
S  0.743  0.750  0.328
S  0.040  0.250  0.380
S  0.443  0.250  0.382
S  0.557  0.750  0.618
S  0.960  0.750  0.620
S  0.257  0.250  0.672
S  0.757  0.250  0.828
S  0.460  0.750  0.880
S  0.057  0.750  0.882

***

This record from OQMD via LeMat-Bulk describes BaCo2Tc after structural relaxation. The functional is PBE-GGA.

## Properties
The value obtained for the raw total energy is -5.412 eV/atom. The value obtained for the volume is 16.9 A^3/atom. Its space group is F-43m (216).

Cell: 4.574 4.574 4.574 Å, 60.00 60.00 60.00°
Each line ends with the local moment (μB).
Fractional coordinates of all 4 atoms:
Ba  0.500  0.500  0.500  -0.06
Co  0.000  0.000  0.000  1.80
Co  0.750  0.750  0.750  1.54
Tc  0.250  0.250  0.250  1.42

***

This record from OQMD via LeMat-Bulk describes Sc2GeMo after structural relaxation. The functional is PBE-GGA.

## Properties
The value obtained for the raw total energy is -7.131 eV/atom. The value obtained for the volume is 17.8 A^3/atom. Its space group is F-43m (216).

Cell: 4.655 4.655 4.655 Å, 60.00 60.00 60.00°
Each line ends with the local moment (μB).
Fractional coordinates of all 4 atoms:
Ge  0.500  0.500  0.500  -0.01
Mo  0.250  0.250  0.250  1.10
Sc  0.000  0.000  0.000  0.43
Sc  0.750  0.750  0.750  -0.01

***

This record from OQMD via LeMat-Bulk describes LiYTlFe after structural relaxation. The functional is PBE-GGA.

## Properties
The value obtained for the raw total energy is -4.702 eV/atom. The energy above the lowest structure with this stoichiometry is 0.000 eV per atom. The value obtained for the volume is 19.2 A^3/atom. Its space group is F-43m (216).

Cell: 4.772 4.772 4.772 Å, 60.00 60.00 60.00°
Fractional coordinates of all 4 atoms:
Fe  0.750  0.750  0.750
Li  0.250  0.250  0.250
Tl  0.000  0.000  0.000
Y  0.500  0.500  0.500

***

This record from OQMD via LeMat-Bulk describes UGaCo after structural relaxation. The functional is PBE-GGA.

## Properties
The value obtained for the raw total energy is -7.216 eV/atom. The value obtained for the volume is 16.5 A^3/atom. Its space group is P-62m (189).

Cell: 6.220 6.220 4.423 Å, 90.00 90.00 120.00°
Each line ends with the local moment (μB).
Fractional coordinates of all 9 atoms:
Co  0.227  0.000  0.000  -0.21
Co  0.000  0.227  0.000  -0.21
Co  0.773  0.773  0.000  -0.21
Ga  0.667  0.333  0.000  -0.01
Ga  0.333  0.667  0.000  -0.01
Ga  0.000  0.000  0.500  0.00
U  0.515  0.000  0.500  0.55
U  0.485  0.485  0.500  0.52
U  0.000  0.515  0.500  0.48

***

This record from OQMD via LeMat-Bulk describes NiI after structural relaxation. The functional is PBE-GGA.

## Properties
The value obtained for the raw total energy is -3.425 eV/atom. The value obtained for the volume is 24.5 A^3/atom. Its space group is P6_3mc (186).

Cell: 4.070 4.070 6.816 Å, 90.00 90.00 120.00°
Each line ends with the local moment (μB).
Fractional coordinates of all 4 atoms:
I  0.000  0.000  0.003  0.03
I  0.333  0.667  0.503  0.02
Ni  0.000  0.000  0.372  0.18
Ni  0.333  0.667  0.872  0.19

***

This record from OQMD via LeMat-Bulk describes LiMg2Hg after structural relaxation. The functional is PBE-GGA.

## Properties
The value obtained for the raw total energy is -1.512 eV/atom. The value obtained for the volume is 20.3 A^3/atom. Its space group is P4/mmm (123).

Cell: 3.566 3.566 6.370 Å, 90.00 90.00 90.00°
Fractional coordinates of all 4 atoms:
Hg  0.000  0.000  0.500
Li  0.000  0.000  0.000
Mg  0.500  0.500  0.249
Mg  0.500  0.500  0.751

***

This record from OQMD via LeMat-Bulk describes LiTaCoSb after structural relaxation. The functional is PBE-GGA.

## Properties
The value obtained for the raw total energy is -6.118 eV/atom. The energy above the lowest structure with this stoichiometry is 0.000 eV per atom. The value obtained for the volume is 14.8 A^3/atom. Its space group is F-43m (216).

Cell: 4.374 4.374 4.374 Å, 60.00 60.00 60.00°
Fractional coordinates of all 4 atoms:
Co  0.750  0.750  0.750
Li  0.250  0.250  0.250
Sb  0.000  0.000  0.000
Ta  0.500  0.500  0.500

***

This record from OQMD via LeMat-Bulk describes La3Al2Au4 after structural relaxation. The functional is PBE-GGA.

## Properties
The value obtained for the raw total energy is -4.725 eV/atom. The value obtained for the volume is 23.9 A^3/atom. Its space group is C2/m (12).

Cell: 6.116 6.116 8.949 Å, 111.73 111.73 44.63°
Fractional coordinates of all 9 atoms:
Al  0.337  0.337  0.166
Al  0.663  0.663  0.834
Au  0.907  0.907  0.091
Au  0.285  0.285  0.427
Au  0.715  0.715  0.573
Au  0.093  0.093  0.909
La  0.636  0.636  0.189
La  0.000  0.000  0.500
La  0.364  0.364  0.811

***

Question: raw total energy of number 5 (BaCo2Tc)?
Answer: -5.412 eV/atom

***

Question: Which of these has the highest raw total energy?
Answer: LiMg2Hg

***

Question: Which value of raw total energy does entry 8 give?
Answer: -7.216 eV/atom

***

Copy entry 3 word for word.
This record from OQMD via LeMat-Bulk describes ZrPb2 after structural relaxation. The functional is PBE-GGA.

## Properties
The value obtained for the raw total energy is -4.821 eV/atom. The value obtained for the volume is 28.2 A^3/atom. Its space group is Fd-3m (227).

Cell: 6.211 6.211 6.211 Å, 60.00 60.00 60.00°
Each line ends with the local moment (μB).
Fractional coordinates of all 6 atoms:
Pb  0.625  0.625  0.125  0.00
Pb  0.625  0.125  0.625  0.00
Pb  0.125  0.625  0.625  0.00
Pb  0.625  0.625  0.625  0.00
Zr  0.000  0.000  0.000  0.25
Zr  0.250  0.250  0.250  0.25